# CsRbCd2Sb2 PBE-GGA relaxed
# **Total energy**: -2.377 eV per atom
# **Offset from the most stable computed form**: 0.012 eV/atom
# **Calculated volume**: 36.49 Å³ per atom
# **Space-group type**: P4mm, No. 99
data_CsRbCd2Sb2
_cell_length_a 4.976
_cell_length_b 4.976
_cell_length_c 8.840
_cell_angle_alpha 90.00
_cell_angle_beta 90.00
_cell_angle_gamma 90.00
_symmetry_space_group_name_H-M 'P 1'
_symmetry_Int_Tables_number 1
loop_
_symmetry_equiv_pos_as_xyz
'x,y,z'
loop_
_atom_site_label
_atom_site_type_symbol
_atom_site_fract_x
_atom_site_fract_y
_atom_site_fract_z
_atom_site_occupancy
Sb1 Sb 0.500 0.500 0.189 1
Sb2 Sb 0.000 0.000 0.804 1
Cd1 Cd 0.000 0.500 0.998 1
Cd2 Cd 0.500 0.000 0.998 1
Cs1 Cs 0.000 0.000 0.344 1
Rb1 Rb 0.500 0.500 0.668 1